Here is NaLi2GaPt after structural relaxation from Alexandria via LeMat-Bulk. Energies are from PBE.

The calculated formation energy is -0.33 eV/atom. As for the space group: P4/mmm.

Cell: 4.8818 4.8818 4.7845 Å, 90.00 90.00 90.00°
Closest atoms and distances in Å follow each position.
Fractional positions:
Na1 0.0000 0.0000 0.0000  8 Li 3.42, 4 Ga 3.45
Li1 0.0000 0.5000 0.5000  2 Pt 2.44
Li2 0.5000 0.0000 0.5000  2 Pt 2.44
Ga1 0.5000 0.5000 0.0000  2 Pt 2.39
Pt1 0.5000 0.5000 0.5000  2 Ga 2.39, 4 Li 2.44

Here is Na2LiGa4Pt3 after structural relaxation from Alexandria via LeMat-Bulk. Energies are from PBE.

The calculated formation energy is -0.52 eV/atom. As for the space group: P-4m2.

Cell: 4.2059 4.2059 10.7106 Å, 90.00 90.00 90.00°
Closest atoms and distances in Å follow each position.
Fractional positions:
Na1 0.0000 0.5000 0.2491  6 Pt 3.22-3.41, 8 Ga 3.23-3.40, 2 Li 3.41
Na2 0.5000 0.0000 0.7509  6 Pt 3.22-3.41, 8 Ga 3.23-3.40, 2 Li 3.41
Li1 0.0000 0.0000 0.5000  4 Ga 2.55
Ga1 0.0000 0.0000 0.0000  4 Pt 2.55
Ga2 0.0000 0.5000 0.6342  3 Pt 2.48-2.55, 2 Li 2.55
Ga3 0.5000 0.0000 0.3658  3 Pt 2.48-2.55, 2 Li 2.55
Ga4 0.5000 0.5000 0.0000  4 Pt 2.55
Pt1 0.0000 0.5000 0.8658  5 Ga 2.48-2.55
Pt2 0.5000 0.0000 0.1342  5 Ga 2.48-2.55
Pt3 0.5000 0.5000 0.5000  4 Ga 2.55

Here is NaLiGa2Pt after structural relaxation from Alexandria via LeMat-Bulk. Energies are from PBE.

The calculated formation energy is -0.36 eV/atom. As for the space group: P4/mmm.

Cell: 4.8054 4.8054 4.9944 Å, 90.00 90.00 90.00°
Closest atoms and distances in Å follow each position.
Fractional positions:
Na1 0.0000 0.0000 0.0000  4 Li 3.40, 8 Ga 3.47
Li1 0.5000 0.5000 0.0000  2 Pt 2.50
Ga1 0.0000 0.5000 0.5000  2 Pt 2.40
Ga2 0.5000 0.0000 0.5000  2 Pt 2.40
Pt1 0.5000 0.5000 0.5000  4 Ga 2.40, 2 Li 2.50

Here is Na2LiGa3Pt4 after structural relaxation from Alexandria via LeMat-Bulk. Energies are from PBE.

The calculated formation energy is -0.58 eV/atom. As for the space group: P-4m2.

Cell: 4.1202 4.1202 10.8292 Å, 90.00 90.00 90.00°
Closest atoms and distances in Å follow each position.
Fractional positions:
Na1 0.0000 0.5000 0.2459  8 Pt 3.15-3.44, 6 Ga 3.18-3.37, 2 Li 3.37
Na2 0.5000 0.0000 0.7541  8 Pt 3.15-3.44, 6 Ga 3.18-3.37, 2 Li 3.37
Li1 0.5000 0.5000 0.0000  4 Pt 2.53
Ga1 0.0000 0.0000 0.0000  4 Pt 2.53
Ga2 0.0000 0.5000 0.6370  5 Pt 2.46-2.54
Ga3 0.5000 0.0000 0.3630  5 Pt 2.46-2.54
Pt1 0.0000 0.0000 0.5000  4 Ga 2.54
Pt2 0.0000 0.5000 0.8640  3 Ga 2.46-2.53, 2 Li 2.53
Pt3 0.5000 0.0000 0.1360  3 Ga 2.46-2.53, 2 Li 2.53
Pt4 0.5000 0.5000 0.5000  4 Ga 2.54

Here is RbNaLi2Ga after structural relaxation from Alexandria via LeMat-Bulk. Energies are from PBE.

The calculated formation energy is 0.05 eV/atom. As for the space group: P4/mmm.

Cell: 5.3780 5.3780 5.7871 Å, 90.00 90.00 90.00°
Closest atoms and distances in Å follow each position.
Fractional positions:
Rb1 0.0000 0.0000 0.0000  4 Na 3.80, 8 Li 3.95
Na1 0.5000 0.5000 0.0000  2 Ga 2.89
Li1 0.0000 0.5000 0.5000  2 Ga 2.69
Li2 0.5000 0.0000 0.5000  2 Ga 2.69
Ga1 0.5000 0.5000 0.5000  4 Li 2.69, 2 Na 2.89

Here is NaLi2GaRh after structural relaxation from Alexandria via LeMat-Bulk. Energies are from PBE.

The calculated formation energy is 0.69 eV/atom. As for the space group: P4/mmm.

Cell: 4.0992 4.0992 4.9253 Å, 90.00 90.00 90.00°
Closest atoms and distances in Å follow each position.
Fractional positions:
Na1 0.0000 0.0000 0.0000  4 Li 2.05
Li1 0.0000 0.5000 0.0000  2 Na 2.05
Li2 0.5000 0.0000 0.0000  2 Na 2.05
Ga1 0.0000 0.0000 0.5000  2 Na 2.46
Rh1 0.5000 0.5000 0.5000  4 Ga 2.90, 8 Li 3.20

Here is NaLiGa2Rh after structural relaxation from Alexandria via LeMat-Bulk. Energies are from PBE.

The calculated formation energy is -0.27 eV/atom. As for the space group: P4/mmm.

Cell: 4.7607 4.7607 4.8894 Å, 90.00 90.00 90.00°
Closest atoms and distances in Å follow each position.
Fractional positions:
Na1 0.0000 0.0000 0.0000  4 Li 3.37, 8 Ga 3.41
Li1 0.5000 0.5000 0.0000  2 Rh 2.44
Ga1 0.0000 0.5000 0.5000  2 Rh 2.38
Ga2 0.5000 0.0000 0.5000  2 Rh 2.38
Rh1 0.5000 0.5000 0.5000  4 Ga 2.38, 2 Li 2.44

Here is NaLiGa2Se4 after structural relaxation from Alexandria via LeMat-Bulk. Energies are from PBE.

Its formation energy from raw total energies is -0.833 eV per atom. As for the space group: I-42m.

Cell: 7.6419 7.6419 7.6419 Å, 136.75 136.75 62.83°
Closest atoms and distances in Å follow each position.
Fractional positions:
Na1 0.0000 0.0000 0.0000  4 Se 2.78
Li1 0.5000 0.5000 0.0000  4 Se 2.61
Ga1 0.2500 0.7500 0.5000  4 Se 2.46
Ga2 0.7500 0.2500 0.5000  4 Se 2.46
Se1 0.1252 0.1252 0.5286  2 Ga 2.46, 1 Li 2.61
Se2 0.4034 0.8748 0.0000  2 Ga 2.46, 1 Li 2.61
Se3 0.5966 0.5966 0.4714  2 Ga 2.46, 1 Li 2.61
Se4 0.8748 0.4034 0.0000  2 Ga 2.46, 1 Li 2.61